# 1
This record from OQMD describes crystalline Al4Co at its relaxed geometry. The functional is PBE-GGA.

Unit cell a=9.192 b=9.192 c=5.251 alpha=90.00 beta=90.00 gamma=90.00
Each line ends with the local moment (μB).
Atoms (fractional coordinates):
Al 0.143 0.451 0.000  0.00
Al 0.764 0.574 0.500  0.00
Al 0.155 0.155 0.739  0.00
Al 0.845 0.845 0.261  0.00
Al 0.426 0.236 0.500  0.00
Al 0.857 0.549 0.000  0.00
Co 0.000 0.000 0.000  0.24
Co 0.096 0.904 0.500  0.70
Al 0.345 0.655 0.761  0.00
Co 0.904 0.096 0.500  0.70
Al 0.345 0.655 0.239  0.00
Al 0.643 0.049 0.500  0.00
Al 0.155 0.155 0.261  0.00
Al 0.357 0.951 0.500  0.00
Co 0.500 0.500 0.500  0.21
Al 0.951 0.357 0.500  0.00
Al 0.655 0.345 0.239  0.00
Co 0.596 0.596 0.000  0.71
Al 0.736 0.074 0.000  0.00
Al 0.574 0.764 0.500  0.00
Al 0.049 0.643 0.500  0.00
Al 0.451 0.143 0.000  0.00
Al 0.264 0.926 0.000  0.00
Co 0.404 0.404 0.000  0.71
Al 0.655 0.345 0.761  0.00
Al 0.236 0.426 0.500  0.00
Al 0.845 0.845 0.739  0.00
Al 0.926 0.264 0.000  0.00
Al 0.549 0.857 0.000  0.00
Al 0.074 0.736 0.000  0.00

Values from the calculation:
The space group is P4_2/mnm, No. 136.

---

# 2
This record from OQMD describes crystalline Al2Co at its relaxed geometry. The functional is PBE-GGA.

Unit cell a=5.013 b=5.013 c=14.987 alpha=90.00 beta=90.00 gamma=120.00
Atoms (fractional coordinates):
Al 0.333 0.667 0.846
Co 0.000 0.000 0.111
Al 0.667 0.333 0.154
Al 0.165 0.835 0.250
Co 0.000 0.000 0.611
Al 0.165 0.331 0.250
Al 0.835 0.669 0.750
Al 0.667 0.333 0.346
Al 0.000 0.500 0.500
Al 0.669 0.835 0.250
Al 0.333 0.667 0.654
Al 0.500 0.500 0.500
Co 0.333 0.667 0.375
Al 0.500 0.000 0.500
Al 0.000 0.500 0.000
Al 0.500 0.500 0.000
Co 0.333 0.667 0.125
Co 0.000 0.000 0.889
Co 0.667 0.333 0.875
Al 0.331 0.165 0.750
Al 0.835 0.165 0.750
Co 0.667 0.333 0.625
Co 0.000 0.000 0.389
Al 0.500 0.000 0.000

Values from the calculation:
The space group is P6_3/mmc, No. 194.

---

# 3
This record from OQMD describes crystalline Al2Co at its relaxed geometry. The functional is PBE-GGA.

Unit cell a=4.948 b=4.948 c=15.778 alpha=90.00 beta=90.00 gamma=120.00
Each line ends with the local moment (μB).
Atoms (fractional coordinates):
Co 0.333 0.667 0.849  0.23
Co 0.667 0.333 0.151  0.23
Al 0.500 0.500 0.500  -0.01
Al 0.161 0.839 0.250  -0.01
Al 0.000 0.500 0.000  0.00
Al 0.500 0.500 0.000  -0.01
Al 0.839 0.678 0.750  0.00
Al 0.500 0.000 0.000  0.00
Al 0.322 0.161 0.750  -0.01
Co 0.667 0.333 0.349  0.23
Al 0.161 0.322 0.250  0.00
Co 0.000 0.000 0.105  0.49
Al 0.667 0.333 0.874  0.00
Al 0.333 0.667 0.126  0.00
Al 0.000 0.500 0.500  0.00
Al 0.667 0.333 0.626  0.00
Al 0.678 0.839 0.250  -0.01
Co 0.000 0.000 0.605  0.48
Al 0.333 0.667 0.374  0.00
Co 0.333 0.667 0.651  0.23
Co 0.000 0.000 0.895  0.49
Al 0.839 0.161 0.750  -0.01
Al 0.500 0.000 0.500  -0.01
Co 0.000 0.000 0.395  0.48

Values from the calculation:
The space group is P6_3/mmc, No. 194.

---

Calculated E (eV per cell), listed in the same order as above: -133.47, -119.01, -110.79